Record 1
VASP calculation (PBE) on a relaxed CeNdCd2 crystal.

Cell: 7.706 3.497 8.267 Å, 90.00 90.00 90.00°
Space group Pmma (No. 51)
Unique sites:
Ce  0.250  0.000  0.027 x2
Nd  0.250  0.000  0.469 x2
Cd  0.040  0.500  0.748 x4

Calculated values
ΔE to the lowest computed polymorph: 0 meV per atom

---

Record 2
VASP calculation (PBE) on a relaxed CeNd2Cd crystal.

Cell: 7.783 7.783 7.783 Å, 90.00 90.00 90.00°
Space group Fm-3m (No. 225)
Unique sites:
Ce  0.000  0.000  0.000 x4
Nd  0.250  0.250  0.250 x8
Cd  0.000  0.000  0.500 x4

Calculated values
ΔE to the lowest computed polymorph: 157 meV per atom

---

Record 3
VASP calculation (PBE) on a relaxed CeNd6Cd crystal.

Cell: 5.048 5.048 20.552 Å, 90.00 90.00 90.00°
Space group I4/mmm (No. 139)
Unique sites:
Ce  0.000  0.000  0.000 x2
Nd  0.000  0.000  0.247 x4
Nd  0.000  0.500  0.120 x8
Cd  0.000  0.000  0.500 x2

---

The evaluated ρ for the records listed, in turn: 7.6 7.6 7.1 Mg/m³.
The evaluated formation energy from the elements for the records listed, in turn: -21 4 1 kJ/mol of atoms.